La3Pr4DyS8 | Alexandria | GGA-PBE | relaxed; formation energy from raw total energies = -2.0691 eV/atom; total magnetization = 0.000 μB per atom
1.0
4.1053 2.3702 6.6874
-4.1053 2.3702 6.6874
0.0000 -4.7404 6.6874
La Pr Dy S
3 4 1 8
direct
0.0000 0.5000 0.5000 La
0.5000 0.0000 0.5000 La
0.5000 0.5000 0.0000 La
0.0000 0.0000 0.5000 Pr
0.0000 0.5000 0.0000 Pr
0.5000 0.0000 0.0000 Pr
0.5000 0.5000 0.5000 Pr
0.0000 0.0000 0.0000 Dy
0.2420 0.7571 0.7571 S
0.2429 0.2429 0.7580 S
0.2429 0.7580 0.2429 S
0.2495 0.2495 0.2495 S
0.7505 0.7505 0.7505 S
0.7571 0.2420 0.7571 S
0.7571 0.7571 0.2420 S
0.7580 0.2429 0.2429 S

=====

Cs2Sr4Rh | Alexandria | GGA-PBE | relaxed; formation energy = -1 kJ/mol of atoms; total magnetization = 0.000 μB per atom
1.0
6.1008 0.0000 0.0000
0.0000 6.1008 0.0000
0.0000 0.0000 23.8634
Cs Sr Rh
4 8 2
direct
0.0000 0.0000 0.1809 Cs
0.0000 0.0000 0.8191 Cs
0.5000 0.5000 0.3191 Cs
0.5000 0.5000 0.6809 Cs
0.0000 0.0000 0.3820 Sr
0.0000 0.0000 0.6180 Sr
0.0000 0.5000 0.0000 Sr
0.0000 0.5000 0.5000 Sr
0.5000 0.0000 0.0000 Sr
0.5000 0.0000 0.5000 Sr
0.5000 0.5000 0.1180 Sr
0.5000 0.5000 0.8820 Sr
0.0000 0.0000 0.5000 Rh
0.5000 0.5000 0.0000 Rh

=====

Tb3Dy7Tm | Alexandria | GGA-PBE | relaxed; relative energy among the computed polymorphs = 129.2 meV per atom; formation energy = 26 kJ/mol of atoms; total magnetization = 0.032 μB per atom
1.0
6.2555 -5.5568 0.0000
6.2555 5.5568 0.0000
-2.6635 0.0000 5.1276
Tb Dy Tm
3 7 1
direct
0.0000 0.0000 0.0000 Tb
0.2085 0.7915 0.5000 Tb
0.7915 0.2085 0.5000 Tb
0.0046 0.5987 0.8019 Dy
0.2080 0.2080 0.7066 Dy
0.4013 0.9954 0.1981 Dy
0.5000 0.5000 0.5000 Dy
0.5987 0.0046 0.8019 Dy
0.7920 0.7920 0.2934 Dy
0.9954 0.4013 0.1981 Dy
0.5000 0.5000 0.0000 Tm

=====

TaW2N | Alexandria | GGA-PBE | relaxed; formation energy from raw total energies = -0.1644 eV/atom; total magnetization = 0.000 μB per atom
1.0
4.9312 0.0000 0.0000
-2.3572 4.7407 0.0000
-2.4160 -1.4468 4.8734
Ta W N
2 4 2
direct
0.0000 0.0000 0.0000 Ta
0.2277 0.8141 0.5318 Ta
0.3143 0.6625 0.0447 W
0.5936 0.4821 0.5081 W
0.6081 0.3252 0.9679 W
0.8399 0.1334 0.4625 W
0.0779 0.3786 0.2449 N
0.5009 0.6325 0.7968 N

=====

V4Mo3Os | Alexandria | GGA-PBE | relaxed; formation energy = -23 kJ/mol of atoms; total magnetization = 0.000 μB per atom
1.0
4.3272 0.0000 0.0000
0.0000 4.3272 0.0000
0.0000 0.0000 6.1140
V Mo Os
4 3 1
direct
0.0000 0.5000 0.2490 V
0.0000 0.5000 0.7510 V
0.5000 0.0000 0.2490 V
0.5000 0.0000 0.7510 V
0.0000 0.0000 0.0000 Mo
0.0000 0.0000 0.5000 Mo
0.5000 0.5000 0.5000 Mo
0.5000 0.5000 0.0000 Os

=====

SmSn3Ru | Alexandria | GGA-PBE | relaxed; formation energy = -29 kJ/mol of atoms; total magnetization = 0.000 μB per atom
1.0
5.2131 0.0000 0.0000
0.0000 9.0614 0.0000
-1.4415 0.0000 5.3257
Sm Sn Ru
2 6 2
direct
0.2269 0.2500 0.1763 Sm
0.7731 0.7500 0.8237 Sm
0.2697 0.5334 0.6692 Sn
0.2697 0.9666 0.6692 Sn
0.3717 0.7500 0.2093 Sn
0.6283 0.2500 0.7907 Sn
0.7303 0.0334 0.3308 Sn
0.7303 0.4666 0.3308 Sn
0.0777 0.2500 0.6321 Ru
0.9223 0.7500 0.3679 Ru

=====

RbBPd2 | Alexandria | GGA-PBE | relaxed; formation energy = 6 kJ/mol of atoms; total magnetization = 0.000 μB per atom
1.0
3.4873 0.0000 0.0000
-1.7437 3.0201 0.0000
0.0000 0.0000 22.7289
Rb B Pd
3 3 6
direct
0.0000 0.0000 0.0000 Rb
0.3333 0.6667 0.6667 Rb
0.6667 0.3333 0.3333 Rb
0.0000 0.0000 0.5000 B
0.3333 0.6667 0.1667 B
0.6667 0.3333 0.8333 B
0.0000 0.0000 0.2069 Pd
0.0000 0.0000 0.7931 Pd
0.3333 0.6667 0.4598 Pd
0.3333 0.6667 0.8735 Pd
0.6667 0.3333 0.1265 Pd
0.6667 0.3333 0.5402 Pd

=====

Li2InFe | Alexandria | GGA-PBE | relaxed; formation energy = 14 kJ/mol of atoms; total magnetization = 0.581 μB per atom
1.0
9.4113 0.0000 0.0000
0.0000 2.8432 0.0000
-0.8790 0.0000 4.9538
Li In Fe
4 2 2
direct
0.0000 0.0000 0.0000 Li
0.2410 0.0000 0.7820 Li
0.5000 0.5000 0.0000 Li
0.7410 0.5000 0.7820 Li
0.2493 0.5000 0.2999 In
0.7493 0.0000 0.2999 In
0.4960 0.0000 0.4966 Fe
0.9960 0.5000 0.4966 Fe

=====

Nb2InPt9 | Alexandria | GGA-PBE | relaxed; formation energy = -54 kJ/mol of atoms; total magnetization = 0.000 μB per atom
1.0
4.0150 0.0000 0.0000
0.0000 4.0150 0.0000
0.0000 0.0000 12.0903
Nb In Pt
2 1 9
direct
0.0000 0.0000 0.1690 Nb
0.0000 0.0000 0.8310 Nb
0.0000 0.0000 0.5000 In
0.0000 0.5000 0.0000 Pt
0.0000 0.5000 0.3245 Pt
0.0000 0.5000 0.6755 Pt
0.5000 0.0000 0.0000 Pt
0.5000 0.0000 0.3245 Pt
0.5000 0.0000 0.6755 Pt
0.5000 0.5000 0.1631 Pt
0.5000 0.5000 0.5000 Pt
0.5000 0.5000 0.8369 Pt

=====

BaAlIn2Sb | Alexandria | GGA-PBE | relaxed; formation energy from raw total energies = 1.0678 eV/atom; total magnetization = 0.000 μB per atom
1.0
6.2299 0.0000 0.0000
0.0000 6.2299 0.0000
0.0000 0.0000 5.9691
Ba Al In Sb
1 1 2 1
direct
0.0000 0.0000 0.0000 Ba
0.0000 0.0000 0.5000 Al
0.0000 0.5000 0.0000 In
0.5000 0.0000 0.0000 In
0.5000 0.5000 0.5000 Sb

=====

Na5Mg | Alexandria | GGA-PBE | relaxed; formation energy = 12 kJ/mol of atoms; total magnetization = 0.000 μB per atom
1.0
0.0000 4.6882 4.6882
4.6882 0.0000 4.6882
4.6882 4.6882 0.0000
Na Mg
5 1
direct
0.0000 0.0000 0.0000 Na
0.3757 0.3757 0.3757 Na
0.3757 0.3757 0.8730 Na
0.3757 0.8730 0.3757 Na
0.8730 0.3757 0.3757 Na
0.7500 0.7500 0.7500 Mg

=====

Ta3Tc4 | Alexandria | GGA-PBE | relaxed; relative energy among the computed polymorphs = 494.6 meV per atom; formation energy = 30 kJ/mol of atoms; total magnetization = 0.000 μB per atom
1.0
5.2189 0.0000 0.0000
-2.6095 4.5197 0.0000
0.0000 0.0000 4.9818
Ta Tc
3 4
direct
0.0000 0.5000 0.0000 Ta
0.5000 0.0000 0.0000 Ta
0.5000 0.5000 0.0000 Ta
0.0000 0.0000 0.2736 Tc
0.0000 0.0000 0.7264 Tc
0.3333 0.6667 0.5000 Tc
0.6667 0.3333 0.5000 Tc